No. 1
Computed, not measured: NiWSeBr2 after structural relaxation at the PBE-GGA level of DFT.

Lattice parameters (Å, degrees): 4.713 4.713 4.992 90.00 90.00 90.00
Fractional coordinates of all 5 atoms:
Ni 0.000 0.000 0.000
W 0.500 0.500 0.500
Se 0.000 0.000 0.500
Br 0.000 0.500 0.000
Br 0.500 0.000 0.000

Properties
ΔE_f (raw) = 5.22 eV/f.u.
magnetic moment = 3.74 μB/cell
DOS(E_F) = 1.192 states/eV/atom
energy relative to the lowest polymorph listed for this composition = 190 meV per atom

=====

No. 2
Computed, not measured: NiWSeBr2 after structural relaxation at the PBE-GGA level of DFT.

Lattice parameters (Å, degrees): 5.271 5.271 4.821 90.00 90.00 90.00
Fractional coordinates of all 5 atoms:
Ni 0.000 0.000 0.000
W 0.500 0.500 0.500
Se 0.500 0.500 0.000
Br 0.000 0.500 0.500
Br 0.500 0.000 0.500

Properties
ΔE_f (raw) = 4.28 eV/f.u.
magnetic moment = 3.03 μB/cell
DOS(E_F) = 2.828 states/eV/atom
energy relative to the lowest polymorph listed for this composition = 0 meV per atom

=====

No. 3
Computed, not measured: YNiSe2Br after structural relaxation at the PBE-GGA level of DFT.

Lattice parameters (Å, degrees): 4.848 4.848 4.688 90.00 90.00 90.00
Fractional coordinates of all 5 atoms:
Y 0.000 0.000 0.000
Ni 0.500 0.500 0.500
Se 0.000 0.500 0.500
Se 0.500 0.000 0.500
Br 0.500 0.500 0.000

Properties
ΔE_f (raw) = -3.18 eV/f.u.
magnetic moment = 0.00 μB/cell
DOS(E_F) = 0.414 states/eV/atom
energy relative to the lowest polymorph listed for this composition = 0 meV per atom

=====

No. 4
Computed, not measured: YNiSe2Br after structural relaxation at the PBE-GGA level of DFT.

Lattice parameters (Å, degrees): 5.496 5.496 5.449 90.00 90.00 90.00
Fractional coordinates of all 5 atoms:
Y 0.000 0.000 0.000
Ni 0.500 0.500 0.500
Se 0.000 0.500 0.000
Se 0.500 0.000 0.000
Br 0.000 0.000 0.500

Properties
ΔE_f (raw) = -0.39 eV/f.u.
magnetic moment = 1.48 μB/cell
DOS(E_F) = 2.026 states/eV/atom
energy relative to the lowest polymorph listed for this composition = 558 meV per atom

=====

No. 5
Computed, not measured: ZnNiSeBr2 after structural relaxation at the PBE-GGA level of DFT.

Lattice parameters (Å, degrees): 4.670 4.670 5.447 90.00 90.00 90.00
Fractional coordinates of all 5 atoms:
Zn 0.000 0.000 0.000
Ni 0.000 0.000 0.500
Se 0.500 0.500 0.000
Br 0.000 0.500 0.500
Br 0.500 0.000 0.500

Properties
ΔE_f (raw) = 1.70 eV/f.u.
magnetic moment = 1.15 μB/cell
DOS(E_F) = 0.845 states/eV/atom
energy relative to the lowest polymorph listed for this composition = 182 meV per atom

=====

No. 6
Computed, not measured: ZnNiSeBr2 after structural relaxation at the PBE-GGA level of DFT.

Lattice parameters (Å, degrees): 4.863 4.863 4.888 90.00 90.00 90.00
Fractional coordinates of all 5 atoms:
Zn 0.000 0.000 0.000
Ni 0.500 0.500 0.500
Se 0.500 0.500 0.000
Br 0.000 0.500 0.500
Br 0.500 0.000 0.500

Properties
ΔE_f (raw) = 0.79 eV/f.u.
magnetic moment = 0.00 μB/cell
DOS(E_F) = 1.019 states/eV/atom
energy relative to the lowest polymorph listed for this composition = 0 meV per atom

=====

No. 7
Computed, not measured: ZnNiSe2Br after structural relaxation at the PBE-GGA level of DFT.

Lattice parameters (Å, degrees): 4.863 4.863 4.965 90.00 90.00 90.00
Fractional coordinates of all 5 atoms:
Zn 0.000 0.000 0.000
Ni 0.000 0.000 0.500
Se 0.000 0.500 0.000
Se 0.500 0.000 0.000
Br 0.500 0.500 0.500

Properties
ΔE_f (raw) = 3.69 eV/f.u.
magnetic moment = 2.38 μB/cell
DOS(E_F) = 1.451 states/eV/atom
energy relative to the lowest polymorph listed for this composition = 467 meV per atom

=====

No. 8
Computed, not measured: ZnNiSe2Br after structural relaxation at the PBE-GGA level of DFT.

Lattice parameters (Å, degrees): 4.740 4.740 4.924 90.00 90.00 90.00
Fractional coordinates of all 5 atoms:
Zn 0.000 0.000 0.000
Ni 0.500 0.500 0.500
Se 0.000 0.500 0.500
Se 0.500 0.000 0.500
Br 0.500 0.500 0.000

Properties
ΔE_f (raw) = 1.36 eV/f.u.
magnetic moment = 0.00 μB/cell
DOS(E_F) = 1.217 states/eV/atom
energy relative to the lowest polymorph listed for this composition = 0 meV per atom

=====

> Which formula does entry 5 have?

ZnNiSeBr2

=====

> Among the records above, which one has the lowest ΔE_f (raw)?

number 3